[1]
A plane-wave DFT calculation with PBEsol was carried out for a relaxed structure of CdTeAs.

Calculated values
Mass density, g/cm3: 6.634
Formation energy (no corrections), eV/atom: 0.280
Space-group type: F-43m (216)
V, Å³ per cell: 78.8

a b c (Å): 4.8128 4.8128 4.8128
angles (deg): 60.00 60.00 60.00
Atoms (fractional coordinates):
Te (0.0000, 0.0000, 0.0000)
As (0.5000, 0.5000, 0.5000)
Cd (0.7500, 0.7500, 0.7500)

[2]
A plane-wave DFT calculation with PBEsol was carried out for a relaxed structure of Cd2TeAs.

Calculated values
Mass density, g/cm3: 7.742
Offset from the most stable computed form, kJ/mol of atoms: 16.3
Formation energy (no corrections), eV/atom: 0.181
Space-group type: P4/mmm (123)
V, Å³ per cell: 91.7

a b c (Å): 3.3313 3.3313 8.2597
angles (deg): 90.00 90.00 90.00
Atoms (fractional coordinates):
Cd (0.0000, 0.0000, 0.7190)
Te (0.5000, 0.5000, 0.0000)
As (0.5000, 0.5000, 0.5000)
Cd (0.0000, 0.0000, 0.2810)

[3]
A plane-wave DFT calculation with PBEsol was carried out for a relaxed structure of Cd2TeAs.

Calculated values
Mass density, g/cm3: 7.526
Offset from the most stable computed form, kJ/mol of atoms: 14.3
Formation energy (no corrections), eV/atom: 0.161
Space-group type: Immm (71)
V, Å³ per cell: 94.3

a b c (Å): 4.0970 5.5857 5.3827
angles (deg): 121.26 112.37 90.00
Atoms (fractional coordinates):
Cd (0.7314, 0.7314, 0.4629)
As (0.0000, 0.5000, 0.0000)
Cd (0.2686, 0.2686, 0.5371)
Te (0.5000, 0.0000, 0.0000)

[4]
A plane-wave DFT calculation with PBEsol was carried out for a relaxed structure of Cd2TeAs.

Calculated values
Mass density, g/cm3: 7.404
Offset from the most stable computed form, kJ/mol of atoms: 17.1
Formation energy (no corrections), eV/atom: 0.189
Space-group type: I-4m2 (119)
V, Å³ per cell: 95.8

a b c (Å): 4.0554 4.0554 6.4946
angles (deg): 108.19 108.19 90.00
Atoms (fractional coordinates):
Cd (0.7500, 0.2500, 0.5000)
As (0.2500, 0.7500, 0.5000)
Te (0.5000, 0.5000, 0.0000)
Cd (0.0000, 0.0000, 0.0000)

[5]
A plane-wave DFT calculation with PBEsol was carried out for a relaxed structure of CdTeAs4.

Calculated values
Mass density, g/cm3: 7.072
Formation energy (no corrections), eV/atom: 0.382
Space-group type: F-43m (216)
V, Å³ per cell: 126.7

a b c (Å): 5.6380 5.6380 5.6380
angles (deg): 60.00 60.00 60.00
Atoms (fractional coordinates):
Cd (0.7500, 0.7500, 0.7500)
Te (0.0000, 0.0000, 0.0000)
As (0.3714, 0.3714, 0.8858)
As (0.3714, 0.8858, 0.3714)
As (0.3714, 0.3714, 0.3714)
As (0.8858, 0.3714, 0.3714)

[6]
A plane-wave DFT calculation with PBEsol was carried out for a relaxed structure of Cd2TeAs.

Calculated values
Mass density, g/cm3: 7.771
Offset from the most stable computed form, kJ/mol of atoms: 20.0
Formation energy (no corrections), eV/atom: 0.220
Space-group type: P4/mmm (123)
V, Å³ per cell: 91.3

a b c (Å): 3.8855 4.8478 4.8478
angles (deg): 90.00 90.00 90.00
Atoms (fractional coordinates):
Cd (0.0000, 0.5000, 0.0000)
As (0.5000, 0.0000, 0.0000)
Cd (0.0000, 0.0000, 0.5000)
Te (0.5000, 0.5000, 0.5000)